First-principles (SCAN) data for LuMg at its PBEsol-relaxed geometry, as listed in Alexandria.

Geometry as extended XYZ:
```
2
Lattice="3.6853 0.0000 0.0000 0.0000 3.6853 0.0000 0.0000 0.0000 3.6853" Properties=species:S:1:pos:R:3 pbc="T T T"
Lu 0.0000 0.0000 0.0000
Mg 1.8426 1.8426 1.8426
```

Calculated values
Density of states at the Fermi level ... 2.28 states/eV/cell
Spin magnetization ... 0.0 μB/f.u.
Energy relative to the elements ... -3.0 kJ/mol of atoms
Mass density ... 6.6 Mg/m³

=====

First-principles (SCAN) data for LuMg2Mn3S8 at its PBEsol-relaxed geometry, as listed in Alexandria.

Geometry as extended XYZ:
```
14
Lattice="3.6282 2.0948 6.0357 -3.6282 2.0948 6.0357 0.0000 -4.1895 6.0357" Properties=species:S:1:pos:R:3 pbc="T T T"
Lu 0.0000 0.0000 0.0000
Mg 0.0000 0.0000 6.7840
Mg 0.0000 0.0000 11.3232
Mn -3.6282 0.0000 9.0536
Mn -1.8141 1.0474 3.0179
Mn 1.8141 1.0474 3.0179
S -1.9231 -1.1103 10.3430
S 0.0000 0.0000 4.3389
S 0.0000 -2.2206 7.7642
S -1.9231 1.1103 7.7642
S 1.9231 -1.1103 10.3430
S 0.0000 2.2206 10.3430
S 0.0000 0.0000 13.7683
S 1.9231 1.1103 7.7642
```

Calculated values
Density of states at the Fermi level ... 4.59 states/eV/cell
Uncorrected formation energy ... -1.337 eV per atom
Spin magnetization ... 12.0 μB/f.u.
Mass density ... 3.9 Mg/m³

=====

First-principles (SCAN) data for Lu2MgOs at its PBEsol-relaxed geometry, as listed in Alexandria.

Geometry as extended XYZ:
```
16
Lattice="6.8284 0.0000 0.0000 0.0000 6.8284 0.0000 0.0000 0.0000 6.8284" Properties=species:S:1:pos:R:3 pbc="T T T"
Lu 1.7071 1.7071 1.7071
Lu 1.7071 1.7071 5.1213
Lu 1.7071 5.1213 1.7071
Lu 1.7071 5.1213 5.1213
Lu 5.1213 1.7071 1.7071
Lu 5.1213 1.7071 5.1213
Lu 5.1213 5.1213 1.7071
Lu 5.1213 5.1213 5.1213
Mg 0.0000 0.0000 0.0000
Mg 0.0000 3.4142 3.4142
Mg 3.4142 0.0000 3.4142
Mg 3.4142 3.4142 0.0000
Os 0.0000 0.0000 3.4142
Os 0.0000 3.4142 0.0000
Os 3.4142 0.0000 0.0000
Os 3.4142 3.4142 3.4142
```

Calculated values
Density of states at the Fermi level ... 8.76 states/eV/cell
Spin magnetization ... 0.0 μB/f.u.
Energy relative to the elements ... -32.7 kJ/mol of atoms
Mass density ... 11.8 Mg/m³

=====

- Look up the mass density of the first one.
  6.6 Mg/m³

=====

- Among the records above, which one has the highest density of states at the Fermi level?
  Lu2MgOs